{
  "formula": "LaCe2PmBi5",
  "functional": "GGA-PBE",
  "state": "relaxed",
  "cell": [[5.545, 0.000, 0.000], [0.000, 5.545, 0.000], [0.000, 0.000, 12.174]],
  "species": ["La", "Ce", "Ce", "Pm", "Bi", "Bi", "Bi", "Bi", "Bi"],
  "frac_coords": [[0.000, 0.000, 0.000], [0.500, 0.500, 0.279], [0.500, 0.500, 0.721], [0.000, 0.000, 0.500], [0.000, 0.000, 0.249], [0.000, 0.000, 0.751], [0.000, 0.500, 0.500], [0.500, 0.000, 0.500], [0.500, 0.500, 0.000]],
  "formation_energy_ev_per_atom": -0.091
}


{
  "formula": "LaCe2PmBi4",
  "functional": "GGA-PBE",
  "state": "relaxed",
  "cell": [[8.008, 0.000, 0.000], [0.000, 4.622, 0.000], [-2.668, 0.000, 7.552]],
  "species": ["La", "Ce", "Ce", "Pm", "Bi", "Bi", "Bi", "Bi"],
  "frac_coords": [[0.000, 0.000, 0.000], [0.000, 0.500, 0.500], [0.500, 0.000, 0.500], [0.500, 0.500, 0.000], [0.252, 0.000, 0.748], [0.255, 0.500, 0.255], [0.745, 0.500, 0.745], [0.748, 0.000, 0.252]],
  "formation_energy_ev_per_atom": -0.896
}


{
  "formula": "LaCePr2Bi4",
  "functional": "GGA-PBE",
  "state": "relaxed",
  "cell": [[8.048, 0.000, 0.000], [0.000, 4.650, 0.000], [-2.684, 0.000, 7.593]],
  "species": ["La", "Ce", "Pr", "Pr", "Bi", "Bi", "Bi", "Bi"],
  "frac_coords": [[0.000, 0.000, 0.000], [0.000, 0.500, 0.500], [0.500, 0.000, 0.500], [0.500, 0.500, 0.000], [0.248, 0.000, 0.746], [0.250, 0.500, 0.253], [0.750, 0.500, 0.747], [0.752, 0.000, 0.254]],
  "formation_energy_ev_per_atom": -0.944
}


{
  "formula": "LaCe2PrBi4",
  "functional": "GGA-PBE",
  "state": "relaxed",
  "cell": [[8.034, 0.000, 0.000], [0.000, 4.637, 0.000], [-2.676, 0.000, 7.576]],
  "species": ["La", "Ce", "Ce", "Pr", "Bi", "Bi", "Bi", "Bi"],
  "frac_coords": [[0.000, 0.000, 0.000], [0.500, 0.000, 0.500], [0.500, 0.500, 0.000], [0.000, 0.500, 0.500], [0.255, 0.000, 0.751], [0.256, 0.500, 0.253], [0.744, 0.500, 0.747], [0.745, 0.000, 0.249]],
  "formation_energy_ev_per_atom": -0.902
}


{
  "formula": "LaCeBiSe",
  "functional": "GGA-PBE",
  "state": "relaxed",
  "cell": [[2.224, 1.284, 7.330], [-2.224, 1.284, 7.330], [0.000, -2.568, 7.330]],
  "species": ["La", "Ce", "Bi", "Se"],
  "frac_coords": [[0.000, 0.000, 0.000], [0.486, 0.486, 0.486], [0.241, 0.241, 0.241], [0.745, 0.745, 0.745]],
  "e_form_raw_ev_per_atom": -1.39
}


{
  "formula": "LaCe2SmBi4",
  "functional": "GGA-PBE",
  "state": "relaxed",
  "cell": [[8.000, 0.000, 0.000], [0.000, 4.618, 0.000], [-2.667, 0.000, 7.543]],
  "species": ["La", "Ce", "Ce", "Sm", "Bi", "Bi", "Bi", "Bi"],
  "frac_coords": [[0.000, 0.000, 0.000], [0.000, 0.500, 0.500], [0.500, 0.000, 0.500], [0.500, 0.500, 0.000], [0.253, 0.000, 0.749], [0.255, 0.500, 0.254], [0.745, 0.500, 0.746], [0.747, 0.000, 0.251]],
  "formation_energy_ev_per_atom": -0.891
}


{
  "formula": "La2Ce3SmBi6",
  "functional": "GGA-PBE",
  "state": "relaxed",
  "cell": [[4.010, -6.946, 0.000], [4.010, 6.946, 0.000], [-2.676, 0.000, 7.566]],
  "species": ["La", "La", "Ce", "Ce", "Ce", "Sm", "Bi", "Bi", "Bi", "Bi", "Bi", "Bi"],
  "frac_coords": [[0.166, 0.834, 0.000], [0.834, 0.166, 0.000], [0.000, 0.000, 0.500], [0.332, 0.668, 0.500], [0.668, 0.332, 0.500], [0.500, 0.500, 0.000], [0.086, 0.416, 0.747], [0.256, 0.256, 0.255], [0.416, 0.086, 0.747], [0.584, 0.914, 0.253], [0.744, 0.744, 0.745], [0.914, 0.584, 0.253]],
  "formation_energy_ev_per_atom": -0.902
}


{
  "formula": "LaCe2SmBi5",
  "functional": "GGA-PBE",
  "state": "relaxed",
  "cell": [[5.525, 0.000, 0.000], [0.000, 5.525, 0.000], [0.000, 0.000, 12.162]],
  "species": ["La", "Ce", "Ce", "Sm", "Bi", "Bi", "Bi", "Bi", "Bi"],
  "frac_coords": [[0.000, 0.000, 0.000], [0.500, 0.500, 0.280], [0.500, 0.500, 0.720], [0.000, 0.000, 0.500], [0.000, 0.000, 0.250], [0.000, 0.000, 0.750], [0.000, 0.500, 0.500], [0.500, 0.000, 0.500], [0.500, 0.500, 0.000]],
  "formation_energy_ev_per_atom": -0.107
}


Which spin magnetization belongs to each record? In order, 1.991; 1.679; 0.798; 1.673; 1.066; 1.683; 2.573; 1.978 μB per formula unit.